Si2AsIr GGA-PBE optimized geometry; uncorrected formation energy = 124.0 meV per atom; total DFT energy (no corrections) = -23.86 eV/cell; magnetic moment = 0.0 μB/cell; DOS at the Fermi energy = 1.51 states/eV/cell
1.0
-2.149 1.288 -1.303
-1.975 -2.637 0.649
-1.902 2.903 6.005
Si As Ir
2 1 1
Direct
0.500 0.500 0.180 Si
0.000 0.000 0.978 Si
0.000 0.000 0.551 As
0.500 0.500 0.792 Ir


Sr2LiNdSe4 GGA-PBE optimized geometry; uncorrected formation energy = -1827.9 meV per atom; total DFT energy (no corrections) = -38.61 eV/cell; magnetic moment = 0.0 μB/cell
1.0
4.343 0.000 0.000
0.000 7.412 0.155
0.000 -2.566 6.998
Sr Se Nd Li
2 4 1 1
Direct
0.000 0.500 0.500 Sr
0.500 0.000 0.500 Sr
0.500 0.753 0.767 Se
0.000 0.748 0.235 Se
0.500 0.247 0.233 Se
0.000 0.252 0.765 Se
0.000 0.000 0.000 Nd
0.500 0.500 0.000 Li


DyEr8Sc2 GGA-PBE optimized geometry; DFT formation energy = 176 meV/atom; total DFT energy (no corrections) = -51.84 eV/cell; magnetic moment = 0.0 μB/cell; DOS at the Fermi energy = 14.87 states/eV/cell
1.0
5.487 1.788 0.000
2.846 8.406 0.000
1.423 4.203 8.102
Er Sc Dy
8 2 1
Direct
0.717 0.550 0.000 Er
0.198 0.649 0.254 Er
0.802 0.351 0.746 Er
0.283 0.450 0.000 Er
0.802 0.097 0.254 Er
0.500 0.205 0.591 Er
0.198 0.903 0.746 Er
0.500 0.795 0.409 Er
0.000 0.311 0.377 Sc
0.000 0.689 0.623 Sc
0.500 0.000 0.000 Dy


MgP4Os GGA-PBE optimized geometry; DFT formation energy = 753 meV/atom; total DFT energy (no corrections) = -29.94 eV/cell; magnetic moment = 0.0 μB/cell; DOS at the Fermi energy = 3.35 states/eV/cell
1.0
-1.354 -2.881 -3.841
-3.956 1.239 -2.774
0.639 1.615 -4.676
P Mg Os
4 1 1
Direct
0.376 0.872 0.376 P
0.872 0.376 0.376 P
0.376 0.376 0.872 P
0.376 0.376 0.376 P
0.750 0.750 0.750 Mg
0.000 0.000 0.000 Os